The following is a GGA-PBE calculation of NpTaN3 after structural relaxation, from the Alexandria database.

Lattice parameters (Å, degrees): 5.830 3.224 12.481 90.00 90.00 90.00
Space group Pnma (No. 62)
Symmetry-distinct sites (fractional):
Np 0.174 0.250 0.196 [4 per cell]
Ta 0.247 0.750 0.448 [4 per cell]
N 0.031 0.250 0.403 [4 per cell]
N 0.132 0.750 0.057 [4 per cell]
N 0.146 0.250 0.788 [4 per cell]

Crystal system: orthorhombic
Raw formation energy in eV/f.u.: -4.86
D(E_F) in states/eV/atom: 0.96
Uncorrected energy in eV per atom: -10.9260
M_tot in μB/f.u.: 2.88